(1)
VASP calculation (PBE) on a geometry-optimized La2CuH12Rh3 structure.

Values from the calculation:
Electronic total energy: -0.1663 hartree per atom
Space group: R-3m, No. 166
Total magnetic moment: 0.821 μB per formula unit

a = 6.022 Å, b = 6.022 Å, c = 6.022 Å
α = 63.23°, β = 63.23°, γ = 63.23°
Sites, in units of the cell vectors:
La1 0.124 0.124 0.124
La2 0.876 0.876 0.876
Cu1 0.500 0.500 0.500
H1 0.155 0.598 0.598
H2 0.167 0.167 0.614
H3 0.167 0.614 0.167
H4 0.386 0.833 0.833
H5 0.402 0.402 0.845
H6 0.402 0.845 0.402
H7 0.598 0.155 0.598
H8 0.598 0.598 0.155
H9 0.614 0.167 0.167
H10 0.833 0.386 0.833
H11 0.833 0.833 0.386
H12 0.845 0.402 0.402
Rh1 0.000 0.500 0.500
Rh2 0.500 0.000 0.500
Rh3 0.500 0.500 0.000

***

(2)
VASP calculation (PBE) on a geometry-optimized LaCu2HRu structure.

Values from the calculation:
Electronic total energy: -0.1816 hartree per atom
Space group: P4/mmm, No. 123
Total magnetic moment: 0.000 μB per formula unit

a = 4.802 Å, b = 4.802 Å, c = 3.681 Å
α = 90.00°, β = 90.00°, γ = 90.00°
Sites, in units of the cell vectors:
La1 0.000 0.000 0.000
Cu1 0.000 0.500 0.500
Cu2 0.500 0.000 0.500
H1 0.500 0.500 0.000
Ru1 0.500 0.500 0.500

***

(3)
VASP calculation (PBE) on a geometry-optimized LaCuH6Ru structure.

Values from the calculation:
Electronic total energy: -0.1677 hartree per atom
Space group: P-6m2, No. 187
Total magnetic moment: 0.000 μB per formula unit

a = 4.701 Å, b = 4.701 Å, c = 4.414 Å
α = 90.00°, β = 90.00°, γ = 120.00°
Sites, in units of the cell vectors:
La1 0.000 0.000 0.000
Cu1 0.667 0.333 0.500
H1 0.014 0.507 0.247
H2 0.014 0.507 0.753
H3 0.493 0.507 0.247
H4 0.493 0.507 0.753
H5 0.493 0.986 0.247
H6 0.493 0.986 0.753
Ru1 0.333 0.667 0.500

***

(4)
VASP calculation (PBE) on a geometry-optimized La2CuH6Ru structure.

Values from the calculation:
Electronic total energy: -0.1745 hartree per atom
Space group: C2/m, No. 12
Total magnetic moment: 0.002 μB per formula unit

a = 5.387 Å, b = 5.387 Å, c = 5.327 Å
α = 119.45°, β = 119.45°, γ = 91.17°
Sites, in units of the cell vectors:
La1 0.250 0.750 0.000
La2 0.750 0.250 0.000
Cu1 0.000 0.000 0.500
H1 0.262 0.262 0.498
H2 0.263 0.263 0.028
H3 0.267 0.733 0.500
H4 0.733 0.267 0.500
H5 0.737 0.737 0.972
H6 0.738 0.738 0.502
Ru1 0.500 0.500 0.500

***

(5)
VASP calculation (PBE) on a geometry-optimized LaCuSbH structure.

Values from the calculation:
Electronic total energy: -0.1799 hartree per atom
Space group: P3m1, No. 156
Total magnetic moment: 0.000 μB per formula unit

a = 4.408 Å, b = 4.408 Å, c = 4.526 Å
α = 90.00°, β = 90.00°, γ = 120.00°
Sites, in units of the cell vectors:
La1 0.000 0.000 0.000
Cu1 0.333 0.667 0.414
Sb1 0.667 0.333 0.527
H1 0.333 0.667 0.044

***

(6)
VASP calculation (PBE) on a geometry-optimized La2ScCuH structure.

Values from the calculation:
Electronic total energy: -0.1758 hartree per atom
Space group: P4/mmm, No. 123
Total magnetic moment: 1.413 μB per formula unit

a = 5.216 Å, b = 5.216 Å, c = 4.132 Å
α = 90.00°, β = 90.00°, γ = 90.00°
Sites, in units of the cell vectors:
La1 0.000 0.500 0.000
La2 0.500 0.000 0.000
Sc1 0.000 0.000 0.500
Cu1 0.500 0.500 0.500
H1 0.000 0.000 0.000

***

(7)
VASP calculation (PBE) on a geometry-optimized LaSc2CuH structure.

Values from the calculation:
Electronic total energy: -0.1860 hartree per atom
Space group: P4/mmm, No. 123
Total magnetic moment: 0.000 μB per formula unit

a = 4.515 Å, b = 4.515 Å, c = 4.766 Å
α = 90.00°, β = 90.00°, γ = 90.00°
Sites, in units of the cell vectors:
La1 0.000 0.000 0.000
Sc1 0.000 0.500 0.500
Sc2 0.500 0.000 0.500
Cu1 0.500 0.500 0.000
H1 0.000 0.000 0.500

***

(8)
VASP calculation (PBE) on a geometry-optimized La2CuSiH structure.

Values from the calculation:
Electronic total energy: -0.1815 hartree per atom
Space group: P4/mmm, No. 123
Total magnetic moment: 0.000 μB per formula unit

a = 5.062 Å, b = 5.062 Å, c = 3.915 Å
α = 90.00°, β = 90.00°, γ = 90.00°
Sites, in units of the cell vectors:
La1 0.000 0.500 0.000
La2 0.500 0.000 0.000
Cu1 0.000 0.000 0.500
Si1 0.500 0.500 0.500
H1 0.000 0.000 0.000